--- 1 ---
Density functional theory data (GGA-PBE) for crystalline AcNpRh2 at its relaxed geometry.

Values from the calculation:
**Spin magnetization**: 0.830 μB/atom

a = 4.4520 Å, b = 4.4520 Å, c = 17.1523 Å
α = 90.00°, β = 90.00°, γ = 120.00°
Space group R-3m (No. 166, hexagonal axes)
One atom of each set of equivalent atoms:
1 Ac 0.0000 0.0000 0.0000 [3 per cell]
2 Np 0.0000 0.0000 0.5000 [3 per cell]
3 Rh 0.0000 0.0000 0.2127 [6 per cell]

--- 2 ---
Density functional theory data (GGA-PBE) for crystalline AcNpRh2 at its relaxed geometry.

Values from the calculation:
**Spin magnetization**: 0.862 μB/atom

a = 7.119 Å, b = 7.119 Å, c = 7.119 Å
α = 90.00°, β = 90.00°, γ = 90.00°
Space group Fm-3m (No. 225)
One atom of each set of equivalent atoms:
1 Ac 0.000 0.000 0.000 [4 per cell]
2 Np 0.000 0.000 0.500 [4 per cell]
3 Rh 0.250 0.250 0.250 [8 per cell]

The most stable of them is 1.

--- 1 ---
Density functional theory data (GGA-PBE) for crystalline AcNp3S6 at its relaxed geometry.

Values from the calculation:
**Spin magnetization**: 0.406 μB/atom

a = 10.983 Å, b = 4.076 Å, c = 11.591 Å
α = 90.00°, β = 107.54°, γ = 90.00°
Space group P2_1/m (No. 11)
One atom of each set of equivalent atoms:
1 Ac 0.056 0.250 0.198 [2 per cell]
2 Np 0.159 0.250 0.583 [2 per cell]
3 Np 0.322 0.750 0.000 [2 per cell]
4 Np 0.456 0.250 0.336 [2 per cell]
5 S 0.086 0.750 0.411 [2 per cell]
6 S 0.128 0.250 0.961 [2 per cell]
7 S 0.203 0.750 0.742 [2 per cell]
8 S 0.282 0.750 0.233 [2 per cell]
9 S 0.391 0.250 0.547 [2 per cell]
10 S 0.481 0.250 0.109 [2 per cell]

--- 2 ---
Density functional theory data (GGA-PBE) for crystalline AcNp3S6 at its relaxed geometry.

Values from the calculation:
**Spin magnetization**: 1.200 μB/atom

a = 10.403 Å, b = 13.175 Å, c = 7.046 Å
α = 90.00°, β = 90.00°, γ = 90.00°
Space group Cmc2_1 (No. 36)
One atom of each set of equivalent atoms:
1 Ac 0.000 0.188 0.000 [4 per cell]
2 Np 0.000 0.407 0.591 [4 per cell]
3 Np 0.189 0.099 0.498 [8 per cell]
4 S 0.000 0.008 0.739 [4 per cell]
5 S 0.000 0.229 0.392 [4 per cell]
6 S 0.162 0.464 0.299 [8 per cell]
7 S 0.192 0.276 0.741 [8 per cell]

The most stable of them is 1.

--- 1 ---
Density functional theory data (GGA-PBE) for crystalline Ac2NpS6 at its relaxed geometry.

Values from the calculation:
**Spin magnetization**: 0.174 μB/atom

a = 7.7032 Å, b = 7.7032 Å, c = 4.0679 Å
α = 90.00°, β = 90.00°, γ = 120.00°
Space group P-62m (No. 189)
One atom of each set of equivalent atoms:
1 Ac 0.3333 0.6667 0.0000 [2 per cell]
2 Np 0.0000 0.0000 0.5000 [1 per cell]
3 S 0.0000 0.2336 0.0000 [3 per cell]
4 S 0.0000 0.6019 0.5000 [3 per cell]

--- 2 ---
Density functional theory data (GGA-PBE) for crystalline Ac2NpS6 at its relaxed geometry.

Values from the calculation:
**Spin magnetization**: 0.111 μB/atom

a = 6.708 Å, b = 7.772 Å, c = 11.265 Å
α = 90.00°, β = 123.79°, γ = 90.00°
Space group P2_1/c (No. 14)
One atom of each set of equivalent atoms:
1 Ac 0.220 0.101 0.254 [4 per cell]
2 Np 0.500 0.000 0.000 [2 per cell]
3 S 0.134 0.164 0.950 [4 per cell]
4 S 0.287 0.708 0.946 [4 per cell]
5 S 0.349 0.029 0.742 [4 per cell]

The most stable of them is 2.